Entry 1:
Compound: TePCl2
Source: Alexandria via LeMat-Bulk
Functional: PBE
Structure: optimized geometry

Structure (extended XYZ):
```
4
Lattice="8.465 0.086 0.074 7.509 3.908 0.074 -0.776 -0.194 3.852" Properties=species:S:1:pos:R:3 pbc="T T T"
Cl 1.509 0.377 0.259
Cl 6.090 1.523 1.741
P 11.399 2.850 3.000
Te 3.800 0.950 1.000
```

Results
M_tot = 0.26 μB per atom
Fermi-level density of states = 0.74 states/eV/f.u.
Distance to the lowest polymorph of the same formula = 280.0 meV per atom
Energy relative to the elements, uncorrected = 0.081 eV/atom



Entry 2:
Compound: TePCl
Source: Alexandria via LeMat-Bulk
Functional: PBE
Structure: optimized geometry

Structure (extended XYZ):
```
3
Lattice="5.854 0.406 1.900 3.265 4.588 2.518 -5.241 -3.252 0.051" Properties=species:S:1:pos:R:3 pbc="T T T"
Te 6.359 3.482 3.080
P 2.783 1.524 1.348
Cl 9.097 4.981 4.406
```

Results
M_tot = 0.00 μB per atom
Fermi-level density of states = 2.53 states/eV/f.u.
Energy relative to the elements, uncorrected = 0.283 eV/atom



Entry 3:
Compound: TePCl2
Source: Alexandria via LeMat-Bulk
Functional: PBE
Structure: optimized geometry

Structure (extended XYZ):
```
4
Lattice="10.224 0.055 0.033 9.680 3.291 0.033 9.680 1.627 2.860" Properties=species:S:1:pos:R:3 pbc="T T T"
Cl 28.903 4.859 2.858
Cl 15.475 2.602 1.530
P 7.396 1.243 0.731
Te 22.189 3.730 2.194
```

Results
M_tot = 0.00 μB per atom
Fermi-level density of states = 2.91 states/eV/f.u.
Distance to the lowest polymorph of the same formula = 579.6 meV per atom
Energy relative to the elements, uncorrected = 0.380 eV/atom



Entry 4:
Compound: TePCl2
Source: Alexandria via LeMat-Bulk
Functional: PBE
Structure: optimized geometry

Structure (extended XYZ):
```
4
Lattice="4.942 -0.706 0.000 -3.239 3.798 0.000 0.000 0.000 8.873" Properties=species:S:1:pos:R:3 pbc="T T T"
Cl 0.000 0.000 8.551
Cl 0.851 1.546 2.707
P 0.000 0.000 4.588
Te 0.851 1.546 6.337
```

Results
M_tot = 0.00 μB per atom
Fermi-level density of states = 2.86 states/eV/f.u.
Distance to the lowest polymorph of the same formula = 398.3 meV per atom
Energy relative to the elements, uncorrected = 0.199 eV/atom



Entry 5:
Compound: TePCl2
Source: Alexandria via LeMat-Bulk
Functional: PBE
Structure: optimized geometry

Structure (extended XYZ):
```
4
Lattice="-1.983 -1.822 -1.488 -0.709 -1.392 2.651 -8.053 7.364 1.715" Properties=species:S:1:pos:R:3 pbc="T T T"
Cl -0.831 0.760 0.177
Cl -3.196 2.922 0.680
P -3.359 0.234 1.010
Te -7.386 3.916 1.868
```

Results
M_tot = 0.00 μB per atom
Fermi-level density of states = 1.73 states/eV/f.u.
Distance to the lowest polymorph of the same formula = 582.2 meV per atom
Energy relative to the elements, uncorrected = 0.383 eV/atom



Entry 6:
Compound: TePCl2
Source: Alexandria via LeMat-Bulk
Functional: PBE
Structure: optimized geometry

Structure (extended XYZ):
```
4
Lattice="-2.978 -5.192 -4.090 2.074 -1.750 -6.722 0.878 0.677 7.164" Properties=species:S:1:pos:R:3 pbc="T T T"
Cl -0.098 -0.751 -1.170
Cl -0.354 -2.720 -4.236
P 1.250 -2.272 -2.482
Te -1.276 -3.993 -1.166
```

Results
M_tot = 0.00 μB per atom
Fermi-level density of states = 2.15 states/eV/f.u.
Distance to the lowest polymorph of the same formula = 361.4 meV per atom
Energy relative to the elements, uncorrected = 0.162 eV/atom